# 1
In2HgP after structural relaxation, computed with PBE-GGA.

Structure (POSCAR):
```
In2HgP
1.0
3.966 0.000 0.000
0.000 3.919 0.000
-1.271 0.000 6.484
In Hg P
2 1 1
direct
0.000 0.000 0.000
0.356 0.500 0.582
0.559 0.500 0.162
0.874 0.000 0.596
```

- Space group: Pm (6)
- Formation enthalpy at 0 K: 79 meV/atom

---

# 2
Np2ZnF8 after structural relaxation, computed with PBE-GGA.

Structure (POSCAR):
```
Np2ZnF8
1.0
6.814 -2.097 0.000
6.814 2.097 0.000
-0.279 0.000 7.177
Np Zn F
2 1 8
direct
0.242 0.242 0.249
0.758 0.758 0.751
0.745 0.255 0.500
0.028 0.128 0.314
0.231 0.230 0.593
0.290 0.302 0.932
0.413 0.400 0.342
0.600 0.587 0.658
0.698 0.710 0.068
0.770 0.769 0.407
0.872 0.972 0.686
```

- Uncorrected energy: -6.91 eV/atom
- Space group: C2 (5)

---

# 3
Sm3Y4PuS8 after structural relaxation, computed with PBE-GGA.

Structure (POSCAR):
```
Sm3Y4PuS8
1.0
3.954 2.283 6.470
-3.954 2.283 6.470
0.000 -4.566 6.470
Sm Y Pu S
3 4 1 8
direct
0.000 0.500 0.500
0.500 0.000 0.500
0.500 0.500 0.000
0.000 0.000 0.500
0.000 0.500 0.000
0.500 0.000 0.000
0.500 0.500 0.500
0.000 0.000 0.000
0.245 0.749 0.749
0.247 0.247 0.247
0.251 0.251 0.755
0.251 0.755 0.251
0.749 0.245 0.749
0.749 0.749 0.245
0.753 0.753 0.753
0.755 0.251 0.251
```

- Uncorrected energy: -7.45 eV/atom
- Space group: R-3m (166)